1.
VASP calculation (GGA-PBE) on a relaxed structure of Ac2PaBPt6.

Computed properties:
formation energy from the elements	-0.94	eV per atom

Cell lengths 6.3744, 6.3744, 5.8776 Å; angles 90.00, 90.00, 120.00 degrees
Closest atoms and distances in Å follow each position.
Space group P-3m1 (No. 164)
Inequivalent atoms, fractional coordinates:
Ac 0.3333 0.6667 0.1844 x2  12 Pt 3.29-3.39
Pa 0.0000 0.0000 0.0000 x1  6 Pt 2.76, 2 B 2.94
B 0.0000 0.0000 0.5000 x1  6 Pt 2.29
Pt 0.1835 0.3670 0.6810 x6  1 B 2.29



2.
VASP calculation (GGA-PBE) on a relaxed structure of Ac2PaBRh6.

Computed properties:
formation energy from the elements	-0.70	eV per atom

Cell lengths 6.1628, 6.1628, 5.8720 Å; angles 90.00, 90.00, 120.00 degrees
Closest atoms and distances in Å follow each position.
Space group P-3m1 (No. 164)
Inequivalent atoms, fractional coordinates:
Ac 0.3333 0.6667 0.3010 x2  12 Rh 3.16-3.45
Pa 0.0000 0.0000 0.5000 x1  6 Rh 2.67, 2 B 2.94
B 0.0000 0.0000 0.0000 x1  6 Rh 2.19
Rh 0.1793 0.3585 0.8169 x6  1 B 2.19



3.
VASP calculation (GGA-PBE) on a relaxed structure of Ac4BPb2.

Computed properties:
formation energy from the elements	-0.25	eV per atom

Cell lengths 5.3657, 5.3657, 18.0018 Å; angles 90.00, 90.00, 90.00 degrees
Closest atoms and distances in Å follow each position.
Space group I4/mmm (No. 139)
Inequivalent atoms, fractional coordinates:
Ac 0.0000 0.0000 0.1703 x4  1 B 3.07
Ac 0.0000 0.5000 0.0000 x4  2 B 2.68
B 0.0000 0.0000 0.0000 x2  4 Ac 2.68
Pb 0.0000 0.0000 0.3620 x4  9 Ac 3.45-3.84



4.
VASP calculation (GGA-PBE) on a relaxed structure of AcB12Pb.

Computed properties:
formation energy from the elements	-0.20	eV per atom

Cell lengths 8.4281, 8.4281, 8.4281 Å; angles 90.00, 90.00, 90.00 degrees
Closest atoms and distances in Å follow each position.
Space group Fm-3m (No. 225)
Inequivalent atoms, fractional coordinates:
Ac 0.0000 0.0000 0.0000 x4  24 B 3.10
B 0.1008 0.2500 0.2500 x48  5 B 1.70-1.78
Pb 0.0000 0.0000 0.5000 x4  24 B 3.10



5.
VASP calculation (GGA-PBE) on a relaxed structure of Ac2BPd6Pb.

Computed properties:
formation energy from the elements	-0.63	eV per atom

Cell lengths 5.9945, 5.9945, 20.3688 Å; angles 90.00, 90.00, 120.00 degrees
Closest atoms and distances in Å follow each position.
Space group R-3m (No. 166, hexagonal axes)
Inequivalent atoms, fractional coordinates:
Ac 0.0000 0.0000 0.2358 x6  6 Pd 3.11
B 0.0000 0.0000 0.0000 x3  6 Pd 2.11
Pd 0.0057 0.5029 0.2762 x18  1 B 2.11
Pb 0.0000 0.0000 0.5000 x3  6 Pd 2.81



6.
VASP calculation (GGA-PBE) on a relaxed structure of AcBPt4Pb.

Computed properties:
formation energy from the elements	0.75	eV per atom

Cell lengths 10.2661, 10.2661, 10.2661 Å; angles 90.00, 90.00, 90.00 degrees
Closest atoms and distances in Å follow each position.
Space group F-43m (No. 216)
Inequivalent atoms, fractional coordinates:
Ac 0.0000 0.0000 0.0000 x4  12 Pt 4.32, 4 Pb 4.45
B 0.0000 0.0000 0.5000 x4  4 Pt 1.91
Pt 0.1074 0.1074 0.6074 x16  1 B 1.91
Pb 0.2500 0.2500 0.7500 x4  4 Pt 2.54



7.
VASP calculation (GGA-PBE) on a relaxed structure of Ac2BPt6Pb.

Computed properties:
formation energy from the elements	-0.71	eV per atom

Cell lengths 12.1484, 5.8214, 7.4636 Å; angles 90.00, 125.77, 90.00 degrees
Closest atoms and distances in Å follow each position.
Space group Cm (No. 8)
Inequivalent atoms, fractional coordinates:
Ac 0.0000 0.0000 0.0000 x2  5 Pt 2.99-3.33
Ac 0.0424 0.5000 0.6125 x2  9 Pt 3.12-3.47
B 0.3385 0.5000 0.4021 x2  5 Pt 2.14-2.19
Pt 0.0306 0.0000 0.4496 x2  1 B 2.15
Pt 0.0709 0.5000 0.0648 x2  1 B 2.71, 1 Pb 2.72, 4 Pt 2.80-2.94, 2 Ac 2.99
Pt 0.2456 0.2522 0.4851 x4  1 B 2.14
Pt 0.2914 0.2417 0.1524 x4  1 B 2.19
Pb 0.2970 0.0000 0.8436 x2  6 Pt 2.72-2.83



8.
VASP calculation (GGA-PBE) on a relaxed structure of Ac4B3Rh12Pb.

Computed properties:
formation energy from the elements	-0.47	eV per atom

Cell lengths 9.0178, 9.0178, 9.0178 Å; angles 90.00, 90.00, 90.00 degrees
Closest atoms and distances in Å follow each position.
Space group Im-3m (No. 229)
Inequivalent atoms, fractional coordinates:
Ac 0.2500 0.2500 0.2500 x8  12 Rh 3.19-3.20
B 0.0000 0.0000 0.5000 x6  2 Rh 1.94
Rh 0.0000 0.0000 0.2851 x12  1 B 1.94
Rh 0.0000 0.2500 0.5000 x12  2 B 2.25
Pb 0.0000 0.0000 0.0000 x2  6 Rh 2.57